Material: TlCdSn
Method: DFT, PBE
State: optimized geometry

Structure (POSCAR):
```
TlCdSn
1.0
1.358 3.975 -1.872
-4.198 -0.358 1.844
3.643 2.930 8.861
Tl Cd Sn
2 2 2
direct
0.667 0.333 0.230 Tl
0.000 0.000 0.022 Tl
0.333 0.667 0.708 Cd
0.667 0.333 0.553 Cd
0.000 0.000 0.421 Sn
0.667 0.333 0.850 Sn
```

DFT formation energy (eV/atom): 0.1235
M_tot (Bohr magnetons per cell): 0.00
Uncorrected energy (eV per atom): -2.305